The following is a DFT calculation (PBE) of a relaxed Ac3Cu2O6 crystal. Values from VASP.

```
&SYSTEM
  ibrav = 0, nat = 11, ntyp = 3
/
ATOMIC_SPECIES
O 16.00 O.upf
Cu 63.55 Cu.upf
Ac 227.00 Ac.upf
CELL_PARAMETERS angstrom
3.9987 0.0000 0.0000
0.0000 3.9987 0.0000
-1.9993 -1.9993 10.2470
ATOMIC_POSITIONS crystal
O 0.2944 0.2944 0.5887
O 0.0844 0.5844 0.1687
O 0.4156 0.9156 0.8313
Cu 0.5868 0.5868 0.1736
O 0.7056 0.7056 0.4113
Cu 0.4132 0.4132 0.8264
O 0.5844 0.0844 0.1687
Ac 0.1761 0.1761 0.3522
Ac 0.0000 0.0000 0.0000
Ac 0.8239 0.8239 0.6478
O 0.9156 0.4156 0.8313
```

Properties
Total magnetic moment = 0.00 μB/atom
Raw total energy = -6.9522 eV per atom
E_form (uncorrected) = -2.3825 eV per atom